# 1
{"formula": "Ca5Tb12Pr3", "functional": "PBE", "state": "optimized geometry", "lattice": [[-9.8387, 9.8387, 9.8387], [9.8387, -9.8387, 9.8387], [9.8387, 9.8387, -9.8387]], "species": ["Ca", "Ca", "Ca", "Ca", "Ca", "Ca", "Ca", "Ca", "Ca", "Ca", "Ca", "Ca", "Ca", "Ca", "Ca", "Ca", "Ca", "Ca", "Ca", "Ca", "Tb", "Tb", "Tb", "Tb", "Tb", "Tb", "Tb", "Tb", "Tb", "Tb", "Tb", "Tb", "Tb", "Tb", "Tb", "Tb", "Tb", "Tb", "Tb", "Tb", "Tb", "Tb", "Tb", "Tb", "Tb", "Tb", "Tb", "Tb", "Tb", "Tb", "Tb", "Tb", "Tb", "Tb", "Tb", "Tb", "Tb", "Tb", "Tb", "Tb", "Tb", "Tb", "Tb", "Tb", "Tb", "Tb", "Tb", "Tb", "Pr", "Pr", "Pr", "Pr", "Pr", "Pr", "Pr", "Pr", "Pr", "Pr", "Pr", "Pr"], "frac_coords": [[0.0000, 0.0000, 0.0000], [0.0000, 0.0000, 0.5000], [0.0000, 0.5000, 0.0000], [0.0000, 0.5000, 0.5000], [0.1250, 0.7500, 0.8750], [0.1250, 0.8750, 0.2500], [0.2500, 0.1250, 0.8750], [0.2500, 0.6250, 0.3750], [0.3750, 0.2500, 0.6250], [0.3750, 0.6250, 0.7500], [0.5000, 0.0000, 0.0000], [0.5000, 0.0000, 0.5000], [0.5000, 0.5000, 0.0000], [0.5000, 0.5000, 0.5000], [0.6250, 0.3750, 0.2500], [0.6250, 0.7500, 0.3750], [0.7500, 0.3750, 0.6250], [0.7500, 0.8750, 0.1250], [0.8750, 0.1250, 0.7500], [0.8750, 0.2500, 0.1250], [0.0622, 0.6481, 0.4190], [0.0622, 0.9141, 0.6432], [0.0810, 0.7291, 0.6432], [0.0810, 0.8519, 0.4378], [0.0859, 0.2291, 0.1481], [0.0859, 0.3568, 0.9378], [0.1432, 0.2291, 0.5810], [0.1432, 0.4141, 0.5622], [0.1481, 0.0859, 0.2291], [0.1481, 0.5622, 0.9190], [0.2291, 0.1481, 0.0859], [0.2291, 0.5810, 0.1432], [0.2709, 0.3568, 0.9190], [0.2709, 0.4141, 0.3519], [0.3519, 0.2709, 0.4141], [0.3519, 0.5810, 0.9378], [0.3568, 0.9190, 0.2709], [0.3568, 0.9378, 0.0859], [0.4141, 0.3519, 0.2709], [0.4141, 0.5622, 0.1432], [0.4190, 0.0622, 0.6481], [0.4190, 0.8568, 0.7709], [0.4378, 0.0810, 0.8519], [0.4378, 0.8568, 0.5859], [0.5622, 0.1432, 0.4141], [0.5622, 0.9190, 0.1481], [0.5810, 0.1432, 0.2291], [0.5810, 0.9378, 0.3519], [0.5859, 0.4378, 0.8568], [0.5859, 0.6481, 0.7291], [0.6432, 0.0622, 0.9141], [0.6432, 0.0810, 0.7291], [0.6481, 0.4190, 0.0622], [0.6481, 0.7291, 0.5859], [0.7291, 0.5859, 0.6481], [0.7291, 0.6432, 0.0810], [0.7709, 0.4190, 0.8568], [0.7709, 0.8519, 0.9141], [0.8519, 0.4378, 0.0810], [0.8519, 0.9141, 0.7709], [0.8568, 0.5859, 0.4378], [0.8568, 0.7709, 0.4190], [0.9141, 0.6432, 0.0622], [0.9141, 0.7709, 0.8519], [0.9190, 0.1481, 0.5622], [0.9190, 0.2709, 0.3568], [0.9378, 0.0859, 0.3568], [0.9378, 0.3519, 0.5810], [0.1250, 0.2500, 0.3750], [0.1250, 0.3750, 0.7500], [0.2500, 0.3750, 0.1250], [0.2500, 0.8750, 0.6250], [0.3750, 0.1250, 0.2500], [0.3750, 0.7500, 0.1250], [0.6250, 0.2500, 0.8750], [0.6250, 0.8750, 0.7500], [0.7500, 0.1250, 0.3750], [0.7500, 0.6250, 0.8750], [0.8750, 0.6250, 0.2500], [0.8750, 0.7500, 0.6250]], "n_ef_per_ev_fu": 34.85, "ef_ev_per_atom": 0.91}

***

# 2
{"formula": "Ca3TbPr12", "functional": "PBE", "state": "optimized geometry", "lattice": [[5.2603, 0.0000, 0.0000], [0.0000, 5.2603, 0.0000], [0.0000, 0.0000, 21.0467]], "species": ["Ca", "Ca", "Ca", "Tb", "Pr", "Pr", "Pr", "Pr", "Pr", "Pr", "Pr", "Pr", "Pr", "Pr", "Pr", "Pr"], "frac_coords": [[0.0000, 0.0000, 0.0000], [0.0000, 0.0000, 0.2520], [0.0000, 0.0000, 0.7480], [0.0000, 0.0000, 0.5000], [0.0000, 0.5000, 0.1260], [0.0000, 0.5000, 0.3792], [0.0000, 0.5000, 0.6208], [0.0000, 0.5000, 0.8740], [0.5000, 0.0000, 0.1260], [0.5000, 0.0000, 0.3792], [0.5000, 0.0000, 0.6208], [0.5000, 0.0000, 0.8740], [0.5000, 0.5000, 0.0000], [0.5000, 0.5000, 0.2511], [0.5000, 0.5000, 0.5000], [0.5000, 0.5000, 0.7489]], "n_ef_per_ev_fu": 24.24, "ef_ev_per_atom": 0.05}

***

# 3
{"formula": "CaTb3Pr5", "functional": "PBE", "state": "optimized geometry", "lattice": [[8.2339, -3.4425, 0.0000], [8.2339, 3.4425, 0.0000], [-3.4619, 0.0000, 11.4084]], "species": ["Ca", "Ca", "Tb", "Tb", "Tb", "Tb", "Tb", "Tb", "Pr", "Pr", "Pr", "Pr", "Pr", "Pr", "Pr", "Pr", "Pr", "Pr"], "frac_coords": [[0.1840, 0.8160, 0.7500], [0.8160, 0.1840, 0.2500], [0.2013, 0.4406, 0.6174], [0.4406, 0.2013, 0.1174], [0.5000, 0.5000, 0.0000], [0.5000, 0.5000, 0.5000], [0.5594, 0.7987, 0.8826], [0.7987, 0.5594, 0.3826], [0.0988, 0.1166, 0.0458], [0.1166, 0.0988, 0.5458], [0.1241, 0.3621, 0.8562], [0.2908, 0.7092, 0.2500], [0.3621, 0.1241, 0.3562], [0.6379, 0.8759, 0.6438], [0.7092, 0.2908, 0.7500], [0.8759, 0.6379, 0.1438], [0.8834, 0.9012, 0.4542], [0.9012, 0.8834, 0.9542]], "n_ef_per_ev_fu": 14.04, "ef_ev_per_atom": 0.20}

***

# 4
{"formula": "CaTb3Pr4", "functional": "PBE", "state": "optimized geometry", "lattice": [[7.3201, 0.0000, 0.0000], [0.0000, 7.3414, 0.0000], [0.0000, 0.0000, 10.3345]], "species": ["Ca", "Ca", "Tb", "Tb", "Tb", "Tb", "Tb", "Tb", "Pr", "Pr", "Pr", "Pr", "Pr", "Pr", "Pr", "Pr"], "frac_coords": [[0.0000, 0.0000, 0.0000], [0.5000, 0.0000, 0.5000], [0.0000, 0.5000, 0.0000], [0.2500, 0.2588, 0.2500], [0.2500, 0.7412, 0.7500], [0.5000, 0.5000, 0.5000], [0.7500, 0.2588, 0.2500], [0.7500, 0.7412, 0.7500], [0.0000, 0.0000, 0.5000], [0.0000, 0.5000, 0.5000], [0.2500, 0.2559, 0.7500], [0.2500, 0.7441, 0.2500], [0.5000, 0.0000, 0.0000], [0.5000, 0.5000, 0.0000], [0.7500, 0.2559, 0.7500], [0.7500, 0.7441, 0.2500]], "n_ef_per_ev_fu": 9.27, "ef_ev_per_atom": 0.04}

***

# 5
{"formula": "Ca2TbPr4", "functional": "PBE", "state": "optimized geometry", "lattice": [[-2.9091, 2.9091, 9.0484], [2.9091, -2.9091, 9.0484], [2.9091, 2.9091, -9.0484]], "species": ["Ca", "Ca", "Tb", "Pr", "Pr", "Pr", "Pr"], "frac_coords": [[0.1259, 0.1259, 0.0000], [0.8741, 0.8741, 0.0000], [0.5000, 0.5000, 0.0000], [0.0000, 0.5000, 0.5000], [0.3270, 0.3270, 0.0000], [0.5000, 0.0000, 0.5000], [0.6730, 0.6730, 0.0000]], "n_ef_per_ev_fu": 12.56, "ef_ev_per_atom": 0.57, "de_polymorph_mev_per_atom": 460}

***

# 6
{"formula": "Ca2TbPr4", "functional": "PBE", "state": "optimized geometry", "lattice": [[-1.8057, 2.9851, 11.9883], [1.8057, -2.9851, 11.9883], [1.8057, 2.9851, -11.9883]], "species": ["Ca", "Ca", "Tb", "Pr", "Pr", "Pr", "Pr"], "frac_coords": [[0.2212, 0.2212, 0.0000], [0.7788, 0.7788, 0.0000], [0.5000, 0.5000, 0.0000], [0.0796, 0.5796, 0.5000], [0.3697, 0.8697, 0.5000], [0.6303, 0.1303, 0.5000], [0.9204, 0.4204, 0.5000]], "n_ef_per_ev_fu": 10.41, "ef_ev_per_atom": 0.11, "de_polymorph_mev_per_atom": 0}